Ba3SbO2: optimized geometry, PBE.

## Properties
formation energy from raw total energies = -11.3 eV per formula unit

Cell lengths 3.762, 7.064, 12.708 Å; angles 90.00, 90.00, 90.00 degrees
Fractional coordinates of all 12 atoms:
Sb: 0.000 0.026 0.865
Sb: 0.000 0.526 0.135
Ba: 0.500 0.584 0.889
Ba: 0.000 0.762 0.592
O: 0.000 0.011 0.260
O: 0.500 0.536 0.496
Ba: 0.000 0.262 0.408
Ba: 0.500 0.282 0.668
Ba: 0.500 0.084 0.111
Ba: 0.500 0.782 0.332
O: 0.500 0.036 0.504
O: 0.000 0.511 0.740